This record from Alexandria via LeMat-Bulk describes crystalline DyYTm2S6 at its relaxed geometry. The functional is PBE-GGA.

Total magnetic moment ... 0.00 μB/atom
Total DFT energy (no corrections) ... -65.41 eV per cell
Formation energy without anion corrections ... -20.632 eV per formula unit

Geometry as POSCAR:
```
DyYTm2S6
1.0
6.8616 0.0006 0.0004
3.4314 5.9421 0.0002
3.4309 1.9811 6.1368
S Tm Y Dy
6 2 1 1
direct
0.1199 0.4088 0.7495
0.9093 0.6193 0.2492
0.4087 0.7219 0.7494
0.7220 0.1198 0.7495
0.2223 0.9092 0.2491
0.6192 0.2224 0.2491
0.0151 0.0152 0.9546
0.5152 0.5152 0.4544
0.8149 0.8149 0.5553
0.3150 0.3149 0.0551
```